Compound: BaAgPt
Source: Alexandria via LeMat-Bulk
Functional: PBE
Structure: relaxed

```
BaAgPt
1.0
-1.895 1.908 5.397
1.895 -1.908 5.397
1.895 1.908 -5.397
Ba Ag Pt
1 1 1
Direct
0.000 0.000 0.000
0.714 0.714 0.000
0.301 0.301 0.000
```

Output
For the excess energy over the best structure of this formula in the dataset, the calculation gives 0.234 eV/atom. Its density of states at the Fermi level is 2.20 states/eV/cell. The calculation puts the total energy at -11.4 eV for the cell shown. As for the energy of formation from the pure elements: -0.2062 eV/atom. The space group is Imm2, No. 44.

Compound: MgAlNO2
Source: Alexandria via LeMat-Bulk
Functional: PBE
Structure: relaxed

```
MgAlNO2
1.0
3.762 0.000 0.000
0.000 3.762 0.000
0.000 0.000 4.036
Mg Al N O
1 1 1 2
Direct
0.000 0.000 0.000
0.500 0.500 0.500
0.000 0.000 0.500
0.000 0.500 0.000
0.500 0.000 0.000
```

Output
Its density of states at the Fermi level is 3.22 states/eV/cell. The calculation puts the total energy at -23.8 eV for the cell shown. The formation energy from raw total energies is -38 meV per atom. The space group is P4/mmm, No. 123.

Compound: V2Ni4Rh
Source: Alexandria via LeMat-Bulk
Functional: PBE
Structure: relaxed

```
V2Ni4Rh
1.0
5.103 0.000 0.000
1.301 5.676 0.000
0.010 2.433 5.800
V Ni Rh
4 8 2
Direct
0.000 0.000 0.000
0.065 0.729 0.430
0.133 0.460 0.872
0.503 0.993 0.024
0.211 0.154 0.296
0.280 0.859 0.726
0.358 0.577 0.149
0.649 0.429 0.881
0.719 0.149 0.296
0.782 0.857 0.729
0.857 0.574 0.152
0.922 0.290 0.588
0.418 0.288 0.599
0.572 0.722 0.442
```

Output
For the excess energy over the best structure of this formula in the dataset, the calculation gives 0.000 eV/atom. Its density of states at the Fermi level is 16.64 states/eV/cell. The calculation puts the total energy at -99.7 eV for the cell shown. As for the energy of formation from the pure elements: -0.1630 eV/atom. The space group is P1, No. 1.

Compound: Ag2GeAu2
Source: Alexandria via LeMat-Bulk
Functional: PBE
Structure: relaxed

```
Ag2GeAu2
1.0
4.698 -2.241 0.000
4.698 2.241 0.000
-1.056 0.000 8.644
Ag Ge Au
4 2 4
Direct
0.043 0.043 0.347
0.157 0.157 0.039
0.843 0.843 0.961
0.957 0.957 0.653
0.256 0.256 0.733
0.744 0.744 0.267
0.348 0.348 0.440
0.464 0.464 0.150
0.536 0.536 0.850
0.652 0.652 0.560
```

Output
For the excess energy over the best structure of this formula in the dataset, the calculation gives 0.000 eV/atom. Its density of states at the Fermi level is 2.86 states/eV/cell. The calculation puts the total energy at -33.5 eV for the cell shown. As for the energy of formation from the pure elements: 0.0298 eV/atom. The space group is C2/m, No. 12.

The records above yield size of the total moment values of 0.000 0.422 0.000 0.000 μB per atom, respectively.